Entry 1:
# GGA-PBE Li2TlHg6, optimized geometry
# * E_form: -11.9 kJ per mole of atoms
# * final energy: -9.1 eV/cell
# * offset from the most stable computed form: 0.0 meV/atom
# * V: 24.77 A^3/atom
# * crystal system: monoclinic
data_Li2TlHg6
_cell_length_a 3.290
_cell_length_b 8.342
_cell_length_c 8.342
_cell_angle_alpha 103.15
_cell_angle_beta 89.91
_cell_angle_gamma 89.91
_symmetry_space_group_name_H-M 'P 1'
_symmetry_Int_Tables_number 1
loop_
_symmetry_equiv_pos_as_xyz
'x,y,z'
loop_
_atom_site_label
_atom_site_fract_x
_atom_site_fract_y
_atom_site_fract_z
Hg1 0.498 0.044 0.339
Hg2 0.498 0.339 0.044
Hg3 0.500 0.649 0.351
Hg4 0.500 0.351 0.649
Hg5 0.502 0.956 0.661
Hg6 0.502 0.661 0.956
Li1 0.001 0.655 0.655
Li2 0.999 0.345 0.345
Tl1 0.000 0.000 0.000



Entry 2:
# GGA-PBE La2HoC2Br2, optimized geometry
# * final energy: -41.6 eV/cell
# * V: 23.72 A^3/atom
# * crystal system: tetragonal
# * energy relative to the elements, uncorrected: -0.768 eV/atom
data_La2HoC2Br2
_cell_length_a 4.576
_cell_length_b 4.576
_cell_length_c 8.564
_cell_angle_alpha 105.50
_cell_angle_beta 105.50
_cell_angle_gamma 90.00
_symmetry_space_group_name_H-M 'P 1'
_symmetry_Int_Tables_number 1
loop_
_symmetry_equiv_pos_as_xyz
'x,y,z'
loop_
_atom_site_label
_atom_site_fract_x
_atom_site_fract_y
_atom_site_fract_z
La1 0.600 0.600 0.200
La2 0.400 0.400 0.800
C1 0.000 0.500 0.000
C2 0.500 0.000 0.000
Br1 0.188 0.188 0.375
Br2 0.812 0.812 0.625
Ho1 0.000 0.000 0.000



Entry 3:
# GGA-PBE CeGa2SiRh4, optimized geometry
# * final energy: -53.0 eV/cell
# * V: 16.17 A^3/atom
# * crystal system: trigonal
# * energy relative to the elements, uncorrected: -0.771 eV/atom
data_CeGa2SiRh4
_cell_length_a 4.241
_cell_length_b 4.241
_cell_length_c 8.660
_cell_angle_alpha 75.83
_cell_angle_beta 75.83
_cell_angle_gamma 60.00
_symmetry_space_group_name_H-M 'P 1'
_symmetry_Int_Tables_number 1
loop_
_symmetry_equiv_pos_as_xyz
'x,y,z'
loop_
_atom_site_label
_atom_site_fract_x
_atom_site_fract_y
_atom_site_fract_z
Ga1 0.756 0.756 0.732
Ga2 0.244 0.244 0.268
Si1 0.500 0.500 0.500
Rh1 0.404 0.404 0.788
Rh2 0.596 0.596 0.212
Rh3 0.864 0.864 0.407
Rh4 0.136 0.136 0.593
Ce1 0.000 0.000 0.000



Entry 4:
# GGA-PBE LiAlCr2, optimized geometry
# * E_form: 12.5 kJ per mole of atoms
# * final energy: -24.4 eV/cell
# * V: 13.27 A^3/atom
# * crystal system: monoclinic
data_LiAlCr2
_cell_length_a 3.056
_cell_length_b 3.996
_cell_length_c 5.898
_cell_angle_alpha 47.45
_cell_angle_beta 90.00
_cell_angle_gamma 90.00
_symmetry_space_group_name_H-M 'P 1'
_symmetry_Int_Tables_number 1
loop_
_symmetry_equiv_pos_as_xyz
'x,y,z'
loop_
_atom_site_label
_atom_site_fract_x
_atom_site_fract_y
_atom_site_fract_z
Li1 0.500 0.500 0.500
Cr1 0.000 0.000 0.000
Cr2 0.500 0.500 0.000
Al1 0.000 0.000 0.500



Entry 5:
# GGA-PBE PrHoRuPt, optimized geometry
# * E_form: -61.1 kJ per mole of atoms
# * final energy: -27.2 eV/cell
# * V: 21.65 A^3/atom
# * crystal system: cubic
data_PrHoRuPt
_cell_length_a 4.966
_cell_length_b 4.966
_cell_length_c 4.966
_cell_angle_alpha 60.00
_cell_angle_beta 60.00
_cell_angle_gamma 60.00
_symmetry_space_group_name_H-M 'P 1'
_symmetry_Int_Tables_number 1
loop_
_symmetry_equiv_pos_as_xyz
'x,y,z'
loop_
_atom_site_label
_atom_site_fract_x
_atom_site_fract_y
_atom_site_fract_z
Ho1 0.000 0.000 0.000
Ru1 0.250 0.250 0.250
Pr1 0.500 0.500 0.500
Pt1 0.750 0.750 0.750



Entry 6:
# GGA-PBE TbDy2Rh3, optimized geometry
# * E_form: -83.7 kJ per mole of atoms
# * final energy: -82.2 eV/cell
# * offset from the most stable computed form: 0.0 meV/atom
# * V: 20.17 A^3/atom
# * crystal system: trigonal
data_TbDy2Rh3
_cell_length_a 4.854
_cell_length_b 4.854
_cell_length_c 11.860
_cell_angle_alpha 90.00
_cell_angle_beta 90.00
_cell_angle_gamma 120.00
_symmetry_space_group_name_H-M 'P 1'
_symmetry_Int_Tables_number 1
loop_
_symmetry_equiv_pos_as_xyz
'x,y,z'
loop_
_atom_site_label
_atom_site_fract_x
_atom_site_fract_y
_atom_site_fract_z
Rh1 0.667 0.333 0.083
Rh2 0.000 0.000 0.249
Rh3 0.333 0.667 0.917
Rh4 0.667 0.333 0.583
Rh5 0.333 0.667 0.417
Rh6 0.000 0.000 0.751
Tb1 0.667 0.333 0.333
Tb2 0.333 0.667 0.667
Dy1 0.000 0.000 0.000
Dy2 0.333 0.667 0.166
Dy3 0.667 0.333 0.834
Dy4 0.000 0.000 0.500



- Which of these has the highest V?
  Li2TlHg6



- Which of these has the highest V?
  Li2TlHg6



- Which of these has the highest final energy?
  Li2TlHg6